DFT (PBE) results for an optimized crystal structure of PRuCl2.

The structure in POSCAR format:
```
PRuCl2
1.0
5.9750 0.0000 0.0000
0.0000 7.8693 0.0000
0.0000 0.0000 2.9789
P Ru Cl
2 2 4
direct
0.0000 0.0000 0.0000
0.5000 0.5000 0.0000
0.0000 0.5000 0.0000
0.5000 0.0000 0.0000
0.2500 0.2500 0.5000
0.2500 0.7500 0.5000
0.7500 0.2500 0.5000
0.7500 0.7500 0.5000
```

Output
volume = 140.1 Å³ per cell
E_form (uncorrected) = 98.96 kJ per mole of atoms
distance to the lowest polymorph of the same formula = 1511 meV/atom
D(E_F) = 0.917 states/eV per atom

=====

DFT (PBE) results for an optimized crystal structure of PRu2Cl.

The structure in POSCAR format:
```
PRu2Cl
1.0
3.4746 0.0000 0.0000
0.0000 3.4746 0.0000
0.0000 0.0000 9.6601
P Ru Cl
2 4 2
direct
0.0000 0.0000 0.0000
0.5000 0.5000 0.5000
0.0000 0.0000 0.5000
0.0000 0.5000 0.7500
0.5000 0.0000 0.2500
0.5000 0.5000 0.0000
0.0000 0.5000 0.2500
0.5000 0.0000 0.7500
```

Output
volume = 116.6 Å³ per cell
E_form (uncorrected) = 63.67 kJ per mole of atoms
distance to the lowest polymorph of the same formula = 841 meV/atom
D(E_F) = 1.409 states/eV per atom

=====

DFT (PBE) results for an optimized crystal structure of P2RuCl.

The structure in POSCAR format:
```
P2RuCl
1.0
4.0615 0.0000 0.0000
0.0000 4.0615 0.0000
0.0000 0.0000 7.1864
P Ru Cl
4 2 2
direct
0.0000 0.5000 0.2500
0.0000 0.5000 0.7500
0.5000 0.0000 0.2500
0.5000 0.0000 0.7500
0.0000 0.0000 0.0000
0.5000 0.5000 0.5000
0.0000 0.0000 0.5000
0.5000 0.5000 0.0000
```

Output
volume = 118.5 Å³ per cell
E_form (uncorrected) = 65.81 kJ per mole of atoms
distance to the lowest polymorph of the same formula = 888 meV/atom
D(E_F) = 0.697 states/eV per atom

=====

DFT (PBE) results for an optimized crystal structure of PRuCl2.

The structure in POSCAR format:
```
PRuCl2
1.0
3.0840 0.0000 0.0000
0.0000 3.0840 0.0000
0.0000 0.0000 8.5390
P Ru Cl
1 1 2
direct
0.0000 0.0000 0.0000
0.5000 0.5000 0.8859
0.0000 0.0000 0.2372
0.5000 0.5000 0.6155
```

Output
volume = 81.2 Å³ per cell
E_form (uncorrected) = -24.76 kJ per mole of atoms
distance to the lowest polymorph of the same formula = 229 meV/atom
D(E_F) = 0.983 states/eV per atom

=====

DFT (PBE) results for an optimized crystal structure of PRu2Cl.

The structure in POSCAR format:
```
PRu2Cl
1.0
2.9683 0.0000 0.0000
-1.4841 2.5706 0.0000
0.0000 0.0000 22.4611
P Ru Cl
3 6 3
direct
0.0000 0.0000 0.0000
0.3333 0.6667 0.6667
0.6667 0.3333 0.3333
0.0000 0.0000 0.2588
0.0000 0.0000 0.7412
0.3333 0.6667 0.4079
0.3333 0.6667 0.9255
0.6667 0.3333 0.0745
0.6667 0.3333 0.5921
0.0000 0.0000 0.5000
0.3333 0.6667 0.1667
0.6667 0.3333 0.8333
```

Output
volume = 171.4 Å³ per cell
E_form (uncorrected) = 2.83 kJ per mole of atoms
distance to the lowest polymorph of the same formula = 211 meV/atom
D(E_F) = 1.370 states/eV per atom

=====

DFT (PBE) results for an optimized crystal structure of PRuCl2.

The structure in POSCAR format:
```
PRuCl2
1.0
6.4562 0.0000 0.0000
0.0000 3.1686 0.0000
-0.4344 0.0000 8.3765
P Ru Cl
2 2 4
direct
0.0000 0.0000 0.0000
0.5000 0.5000 0.0000
0.3124 0.0000 0.1347
0.8124 0.5000 0.1347
0.1420 0.5000 0.3307
0.4834 0.5000 0.7579
0.6420 0.0000 0.3307
0.9834 0.0000 0.7579
```

Output
volume = 171.4 Å³ per cell
E_form (uncorrected) = -46.83 kJ per mole of atoms
distance to the lowest polymorph of the same formula = 0 meV/atom
D(E_F) = 0.697 states/eV per atom

=====

DFT (PBE) results for an optimized crystal structure of PRuCl2.

The structure in POSCAR format:
```
PRuCl2
1.0
2.9959 0.0000 0.0000
0.0000 2.9959 0.0000
0.0000 0.0000 9.3785
P Ru Cl
1 1 2
direct
0.0000 0.0000 0.0000
0.0000 0.0000 0.5000
0.5000 0.5000 0.3252
0.5000 0.5000 0.6748
```

Output
volume = 84.2 Å³ per cell
E_form (uncorrected) = 73.72 kJ per mole of atoms
distance to the lowest polymorph of the same formula = 1249 meV/atom
D(E_F) = 0.782 states/eV per atom

=====

DFT (PBE) results for an optimized crystal structure of PRu2Cl.

The structure in POSCAR format:
```
PRu2Cl
1.0
2.9072 0.0000 0.0000
-1.4536 2.5177 0.0000
0.0000 0.0000 28.6745
P Ru Cl
3 6 3
direct
0.0000 0.0000 0.0000
0.3333 0.6667 0.6667
0.6667 0.3333 0.3333
0.0000 0.0000 0.2752
0.0000 0.0000 0.5313
0.3333 0.6667 0.1979
0.3333 0.6667 0.9418
0.6667 0.3333 0.6085
0.6667 0.3333 0.8646
0.0000 0.0000 0.8011
0.3333 0.6667 0.4678
0.6667 0.3333 0.1345
```

Output
volume = 209.9 Å³ per cell
E_form (uncorrected) = 14.95 kJ per mole of atoms
distance to the lowest polymorph of the same formula = 336 meV/atom
D(E_F) = 1.085 states/eV per atom

=====

DFT (PBE) results for an optimized crystal structure of P2RuCl.

The structure in POSCAR format:
```
P2RuCl
1.0
6.1611 0.0000 0.0000
0.0000 6.1611 0.0000
0.0000 0.0000 6.1611
P Ru Cl
8 4 4
direct
0.0000 0.0000 0.0000
0.0000 0.5000 0.5000
0.2500 0.2500 0.2500
0.2500 0.7500 0.7500
0.5000 0.0000 0.5000
0.5000 0.5000 0.0000
0.7500 0.2500 0.7500
0.7500 0.7500 0.2500
0.2500 0.2500 0.7500
0.2500 0.7500 0.2500
0.7500 0.2500 0.2500
0.7500 0.7500 0.7500
0.0000 0.0000 0.5000
0.0000 0.5000 0.0000
0.5000 0.0000 0.0000
0.5000 0.5000 0.5000
```

Output
volume = 233.9 Å³ per cell
E_form (uncorrected) = 64.23 kJ per mole of atoms
distance to the lowest polymorph of the same formula = 871 meV/atom
D(E_F) = 0.746 states/eV per atom

=====

DFT (PBE) results for an optimized crystal structure of P2RuCl.

The structure in POSCAR format:
```
P2RuCl
1.0
2.8393 0.0000 0.0000
0.0000 4.3960 0.0000
0.0000 0.0000 10.3491
P Ru Cl
4 2 2
direct
0.0000 0.0000 0.1948
0.0000 0.0000 0.8052
0.5000 0.5000 0.3052
0.5000 0.5000 0.6948
0.0000 0.5000 0.5000
0.5000 0.0000 0.0000
0.0000 0.5000 0.0000
0.5000 0.0000 0.5000
```

Output
volume = 129.2 Å³ per cell
E_form (uncorrected) = 36.97 kJ per mole of atoms
distance to the lowest polymorph of the same formula = 589 meV/atom
D(E_F) = 0.523 states/eV per atom

=====

DFT (PBE) results for an optimized crystal structure of PRu2Cl.

The structure in POSCAR format:
```
PRu2Cl
1.0
6.1832 0.0000 0.0000
0.0000 6.1832 0.0000
0.0000 0.0000 6.1832
P Ru Cl
4 8 4
direct
0.0000 0.0000 0.0000
0.0000 0.5000 0.5000
0.5000 0.0000 0.5000
0.5000 0.5000 0.0000
0.0000 0.0000 0.5000
0.0000 0.5000 0.0000
0.2500 0.2500 0.7500
0.2500 0.7500 0.2500
0.5000 0.0000 0.0000
0.5000 0.5000 0.5000
0.7500 0.2500 0.2500
0.7500 0.7500 0.7500
0.2500 0.2500 0.2500
0.2500 0.7500 0.7500
0.7500 0.2500 0.7500
0.7500 0.7500 0.2500
```

Output
volume = 236.4 Å³ per cell
E_form (uncorrected) = 80.52 kJ per mole of atoms
distance to the lowest polymorph of the same formula = 1016 meV/atom
D(E_F) = 0.952 states/eV per atom

=====

DFT (PBE) results for an optimized crystal structure of P2RuCl.

The structure in POSCAR format:
```
P2RuCl
1.0
4.7954 0.0000 0.0000
0.0000 8.2442 0.0000
0.0000 0.0000 3.0895
P Ru Cl
4 2 2
direct
0.2500 0.2500 0.0000
0.2500 0.7500 0.0000
0.7500 0.2500 0.0000
0.7500 0.7500 0.0000
0.0000 0.0000 0.5000
0.5000 0.5000 0.5000
0.0000 0.5000 0.5000
0.5000 0.0000 0.5000
```

Output
volume = 122.1 Å³ per cell
E_form (uncorrected) = 65.18 kJ per mole of atoms
distance to the lowest polymorph of the same formula = 881 meV/atom
D(E_F) = 0.704 states/eV per atom

=====

DFT (PBE) results for an optimized crystal structure of P2RuCl.

The structure in POSCAR format:
```
P2RuCl
1.0
4.0041 0.0000 0.0000
0.0000 3.6105 0.0000
-0.4968 0.0000 5.4971
P Ru Cl
2 1 1
direct
0.0000 0.0000 0.0000
0.3321 0.5000 0.9519
0.5136 0.0000 0.7549
0.5940 0.5000 0.4289
```

Output
volume = 79.5 Å³ per cell
E_form (uncorrected) = -2.62 kJ per mole of atoms
distance to the lowest polymorph of the same formula = 178 meV/atom
D(E_F) = 0.488 states/eV per atom

=====

DFT (PBE) results for an optimized crystal structure of PRu2Cl.

The structure in POSCAR format:
```
PRu2Cl
1.0
2.9845 0.0000 0.0000
0.0000 3.3716 0.0000
0.0000 0.0000 12.7373
P Ru Cl
2 4 2
direct
0.0000 0.0000 0.0000
0.5000 0.5000 0.5000
0.0000 0.0000 0.5690
0.0000 0.5000 0.8869
0.5000 0.0000 0.3869
0.5000 0.5000 0.0690
0.0000 0.5000 0.2435
0.5000 0.0000 0.7435
```

Output
volume = 128.2 Å³ per cell
E_form (uncorrected) = -2.16 kJ per mole of atoms
distance to the lowest polymorph of the same formula = 159 meV/atom
D(E_F) = 0.791 states/eV per atom

=====

DFT (PBE) results for an optimized crystal structure of PRuCl2.

The structure in POSCAR format:
```
PRuCl2
1.0
3.3008 0.0000 0.0000
0.0000 3.3008 0.0000
0.0000 0.0000 7.5547
P Ru Cl
1 1 2
direct
0.0000 0.0000 0.0000
0.5000 0.5000 0.1007
0.0000 0.0000 0.3295
0.5000 0.5000 0.7722
```

Output
volume = 82.3 Å³ per cell
E_form (uncorrected) = 12.68 kJ per mole of atoms
distance to the lowest polymorph of the same formula = 617 meV/atom
D(E_F) = 0.565 states/eV per atom

=====

DFT (PBE) results for an optimized crystal structure of PRuCl2.

The structure in POSCAR format:
```
PRuCl2
1.0
3.2744 0.0000 0.0000
-1.6372 2.8357 0.0000
0.0000 0.0000 26.1459
P Ru Cl
3 3 6
direct
0.0000 0.0000 0.0000
0.3333 0.6667 0.6667
0.6667 0.3333 0.3333
0.0000 0.0000 0.2840
0.3333 0.6667 0.9507
0.6667 0.3333 0.6173
0.0000 0.0000 0.5484
0.0000 0.0000 0.7380
0.3333 0.6667 0.2151
0.3333 0.6667 0.4047
0.6667 0.3333 0.0714
0.6667 0.3333 0.8818
```

Output
volume = 242.8 Å³ per cell
E_form (uncorrected) = -12.03 kJ per mole of atoms
distance to the lowest polymorph of the same formula = 361 meV/atom
D(E_F) = 1.077 states/eV per atom

=====

DFT (PBE) results for an optimized crystal structure of PRuCl2.

The structure in POSCAR format:
```
PRuCl2
1.0
3.3946 0.0000 0.0000
-1.6973 2.9398 0.0000
0.0000 0.0000 28.8299
P Ru Cl
3 3 6
direct
0.0000 0.0000 0.0000
0.3333 0.6667 0.6667
0.6667 0.3333 0.3333
0.0000 0.0000 0.5000
0.3333 0.6667 0.1667
0.6667 0.3333 0.8333
0.0000 0.0000 0.2137
0.0000 0.0000 0.7863
0.3333 0.6667 0.4530
0.3333 0.6667 0.8804
0.6667 0.3333 0.1196
0.6667 0.3333 0.5470
```

Output
volume = 287.7 Å³ per cell
E_form (uncorrected) = 51.98 kJ per mole of atoms
distance to the lowest polymorph of the same formula = 1024 meV/atom
D(E_F) = 1.224 states/eV per atom

=====

DFT (PBE) results for an optimized crystal structure of PRuCl2.

The structure in POSCAR format:
```
PRuCl2
1.0
5.4837 0.0000 0.0000
0.0000 6.1481 0.0000
0.0000 0.0000 8.0114
P Ru Cl
4 4 8
direct
0.0000 0.0000 0.0000
0.0000 0.5000 0.5000
0.5000 0.0000 0.5000
0.5000 0.5000 0.0000
0.0000 0.0000 0.5000
0.0000 0.5000 0.0000
0.5000 0.0000 0.0000
0.5000 0.5000 0.5000
0.0000 0.2500 0.2500
0.0000 0.2500 0.7500
0.0000 0.7500 0.2500
0.0000 0.7500 0.7500
0.5000 0.2500 0.2500
0.5000 0.2500 0.7500
0.5000 0.7500 0.2500
0.5000 0.7500 0.7500
```

Output
volume = 270.1 Å³ per cell
E_form (uncorrected) = 58.30 kJ per mole of atoms
distance to the lowest polymorph of the same formula = 1090 meV/atom
D(E_F) = 0.921 states/eV per atom

=====

DFT (PBE) results for an optimized crystal structure of P2RuCl.

The structure in POSCAR format:
```
P2RuCl
1.0
3.0215 0.0000 0.0000
0.0000 6.0731 0.0000
0.0000 0.0000 8.7588
P Ru Cl
4 2 2
direct
0.0000 0.0000 0.0000
0.0000 0.5000 0.1753
0.5000 0.0000 0.1753
0.5000 0.5000 0.0000
0.0000 0.0000 0.3889
0.5000 0.5000 0.3889
0.0000 0.5000 0.5956
0.5000 0.0000 0.5956
```

Output
volume = 160.7 Å³ per cell
E_form (uncorrected) = 40.20 kJ per mole of atoms
distance to the lowest polymorph of the same formula = 622 meV/atom
D(E_F) = 0.925 states/eV per atom

=====

DFT (PBE) results for an optimized crystal structure of PRuCl2.

The structure in POSCAR format:
```
PRuCl2
1.0
4.5069 0.0000 0.0000
0.0000 4.5069 0.0000
0.0000 0.0000 3.1602
P Ru Cl
1 1 2
direct
0.0000 0.0000 0.0000
0.5000 0.5000 0.0000
0.0000 0.5000 0.5000
0.5000 0.0000 0.5000
```

Output
volume = 64.2 Å³ per cell
E_form (uncorrected) = 98.66 kJ per mole of atoms
distance to the lowest polymorph of the same formula = 1508 meV/atom
D(E_F) = 0.925 states/eV per atom